Record 1
PBE Li2ScBr4, optimized geometry; V = 24.29 Å³ per atom; symmetry = C2/m; uncorrected formation energy = -1.458 eV per atom
1.0
-2.669 -0.785 2.561
0.203 -6.652 -1.826
5.844 2.617 4.100
Br Li Sc
4 2 1
Cartesian
1.281 -4.814 -0.140
-0.078 -1.755 2.173
3.455 -3.065 2.662
2.096 -0.006 4.975
0.933 -4.446 2.402
2.444 -0.374 2.433
0.000 0.000 0.000

Record 2
PBE LiScBr2, optimized geometry; V = 24.76 Å³ per atom; ΔE to the lowest computed polymorph = 819 meV/atom; symmetry = F-43m; uncorrected formation energy = -0.251 eV per atom
1.0
-2.735 0.201 4.410
-1.846 -4.370 2.112
2.049 -1.818 4.412
Br Sc Li
2 1 1
Cartesian
-0.633 -1.497 2.734
0.000 0.000 0.000
-1.898 -4.491 8.201
-1.266 -2.994 5.467

Record 3
PBE Li2ScBr, optimized geometry; V = 21.21 Å³ per atom; ΔE to the lowest computed polymorph = 244 meV/atom; symmetry = Pmmm; uncorrected formation energy = -0.218 eV per atom
1.0
3.331 0.000 0.000
0.000 4.954 0.000
0.000 0.000 5.140
Li Sc Br
2 1 1
Cartesian
0.000 0.000 0.000
1.666 2.477 0.000
1.666 0.000 2.570
0.000 2.477 2.570

Record 4
PBE Li3ScBr6, optimized geometry; V = 25.40 Å³ per atom; ΔE to the lowest computed polymorph = 0 meV/atom; symmetry = P2_1/c; uncorrected formation energy = -1.549 eV per atom
1.0
6.890 0.000 -0.037
0.000 7.036 0.000
0.034 0.000 10.480
Br Li Sc
12 6 2
Cartesian
1.097 2.242 0.900
0.936 0.631 8.012
5.734 4.768 5.817
4.559 1.275 6.121
2.366 5.760 4.322
5.989 6.405 2.431
1.191 2.268 4.626
5.828 4.793 9.543
4.364 2.887 2.754
2.271 5.786 0.595
4.653 1.250 9.848
2.561 4.149 7.689
3.445 3.518 -0.018
0.017 0.000 5.240
6.839 3.784 2.800
0.086 3.252 7.643
3.411 6.770 8.059
3.514 0.266 2.384
0.000 0.000 0.000
3.462 3.518 5.221